Arrangement one

An optimized crystal structure of Mn2Re2S, computed with GGA-PBE.

Computed properties:
Crystal system ... tetragonal

Cell and atoms, written as CIF:
```
data_Mn2Re2S
_chemical_formula_sum 'Mn4 Re4 S2'
_space_group_name_H-M_alt 'P 1'
_space_group_IT_number 1
_cell_length_a 7.163
_cell_length_b 7.163
_cell_length_c 2.751
_cell_angle_alpha 90.00
_cell_angle_beta 90.00
_cell_angle_gamma 90.00
loop_
_space_group_symop_operation_xyz
'x,y,z'
loop_
_atom_site_label
_atom_site_type_symbol
_atom_site_fract_x
_atom_site_fract_y
_atom_site_fract_z
S1 S 0.000 0.000 0.000
S2 S 0.500 0.500 0.000
Re1 Re 0.849 0.651 0.000
Re2 Re 0.651 0.151 0.000
Re3 Re 0.349 0.849 0.000
Re4 Re 0.151 0.349 0.000
Mn1 Mn 0.136 0.636 0.500
Mn2 Mn 0.364 0.136 0.500
Mn3 Mn 0.864 0.364 0.500
Mn4 Mn 0.636 0.864 0.500
```

---

Arrangement two

An optimized crystal structure of Mn2Re2S, computed with GGA-PBE.

Computed properties:
Crystal system ... tetragonal

Cell and atoms, written as CIF:
```
data_Mn2Re2S
_chemical_formula_sum 'Mn2 Re2 S1'
_space_group_name_H-M_alt 'P 1'
_space_group_IT_number 1
_cell_length_a 4.753
_cell_length_b 4.753
_cell_length_c 4.722
_cell_angle_alpha 90.00
_cell_angle_beta 90.00
_cell_angle_gamma 90.00
loop_
_space_group_symop_operation_xyz
'x,y,z'
loop_
_atom_site_label
_atom_site_type_symbol
_atom_site_fract_x
_atom_site_fract_y
_atom_site_fract_z
Mn1 Mn 0.500 0.000 0.000
Mn2 Mn 0.000 0.500 0.000
Re1 Re 0.000 0.000 0.500
Re2 Re 0.000 0.000 0.000
S1 S 0.500 0.500 0.500
```

---

Result of the stability comparison: arrangement two is the least stable of them.

---

Arrangement one

An optimized crystal structure of Mn3ReS, computed with GGA-PBE.

Computed properties:
Crystal system ... cubic

Cell and atoms, written as CIF:
```
data_Mn3ReS
_chemical_formula_sum 'Mn3 Re1 S1'
_space_group_name_H-M_alt 'P 1'
_space_group_IT_number 1
_cell_length_a 4.668
_cell_length_b 4.668
_cell_length_c 4.668
_cell_angle_alpha 90.00
_cell_angle_beta 90.00
_cell_angle_gamma 90.00
loop_
_space_group_symop_operation_xyz
'x,y,z'
loop_
_atom_site_label
_atom_site_type_symbol
_atom_site_fract_x
_atom_site_fract_y
_atom_site_fract_z
Mn1 Mn 0.000 0.500 0.000
Mn2 Mn 0.500 0.000 0.000
Mn3 Mn 0.000 0.000 0.500
S1 S 0.500 0.500 0.500
Re1 Re 0.000 0.000 0.000
```

---

Arrangement two

An optimized crystal structure of Mn3ReS, computed with GGA-PBE.

Computed properties:
Crystal system ... cubic

Cell and atoms, written as CIF:
```
data_Mn3ReS
_chemical_formula_sum 'Mn3 Re1 S1'
_space_group_name_H-M_alt 'P 1'
_space_group_IT_number 1
_cell_length_a 4.046
_cell_length_b 4.046
_cell_length_c 4.046
_cell_angle_alpha 90.00
_cell_angle_beta 90.00
_cell_angle_gamma 90.00
loop_
_space_group_symop_operation_xyz
'x,y,z'
loop_
_atom_site_label
_atom_site_type_symbol
_atom_site_fract_x
_atom_site_fract_y
_atom_site_fract_z
Mn1 Mn 0.500 0.000 0.000
Mn2 Mn 0.000 0.000 0.500
Mn3 Mn 0.000 0.500 0.000
Re1 Re 0.500 0.500 0.500
S1 S 0.000 0.000 0.000
```

---

Result of the stability comparison: arrangement one is the least stable of them.

---

Arrangement one

An optimized crystal structure of MnRe2SbSe, computed with GGA-PBE.

Computed properties:
Crystal system ... tetragonal

Cell and atoms, written as CIF:
```
data_MnRe2SbSe
_chemical_formula_sum 'Mn1 Re2 Sb1 Se1'
_space_group_name_H-M_alt 'P 1'
_space_group_IT_number 1
_cell_length_a 4.932
_cell_length_b 4.932
_cell_length_c 5.181
_cell_angle_alpha 90.00
_cell_angle_beta 90.00
_cell_angle_gamma 90.00
loop_
_space_group_symop_operation_xyz
'x,y,z'
loop_
_atom_site_label
_atom_site_type_symbol
_atom_site_fract_x
_atom_site_fract_y
_atom_site_fract_z
Sb1 Sb 0.000 0.000 0.000
Mn1 Mn 0.500 0.500 0.500
Re1 Re 0.500 0.000 0.000
Re2 Re 0.000 0.500 0.000
Se1 Se 0.000 0.000 0.500
```

---

Arrangement two

An optimized crystal structure of MnRe2SbSe, computed with GGA-PBE.

Computed properties:
Crystal system ... tetragonal

Cell and atoms, written as CIF:
```
data_MnRe2SbSe
_chemical_formula_sum 'Mn1 Re2 Sb1 Se1'
_space_group_name_H-M_alt 'P 1'
_space_group_IT_number 1
_cell_length_a 4.952
_cell_length_b 4.870
_cell_length_c 4.952
_cell_angle_alpha 90.00
_cell_angle_beta 90.00
_cell_angle_gamma 90.00
loop_
_space_group_symop_operation_xyz
'x,y,z'
loop_
_atom_site_label
_atom_site_type_symbol
_atom_site_fract_x
_atom_site_fract_y
_atom_site_fract_z
Re1 Re 0.000 0.000 0.500
Re2 Re 0.500 0.000 0.000
Mn1 Mn 0.000 0.500 0.000
Se1 Se 0.500 0.500 0.500
Sb1 Sb 0.000 0.000 0.000
```

---

Result of the stability comparison: arrangement one is the least stable of them.

---

Arrangement one

An optimized crystal structure of MnReTc2Sb, computed with GGA-PBE.

Computed properties:
Crystal system ... tetragonal

Cell and atoms, written as CIF:
```
data_MnReTc2Sb
_chemical_formula_sum 'Mn1 Re1 Tc2 Sb1'
_space_group_name_H-M_alt 'P 1'
_space_group_IT_number 1
_cell_length_a 4.718
_cell_length_b 4.702
_cell_length_c 4.718
_cell_angle_alpha 90.00
_cell_angle_beta 90.00
_cell_angle_gamma 90.00
loop_
_space_group_symop_operation_xyz
'x,y,z'
loop_
_atom_site_label
_atom_site_type_symbol
_atom_site_fract_x
_atom_site_fract_y
_atom_site_fract_z
Tc1 Tc 0.000 0.000 0.500
Tc2 Tc 0.500 0.000 0.000
Re1 Re 0.000 0.000 0.000
Sb1 Sb 0.500 0.500 0.500
Mn1 Mn 0.000 0.500 0.000
```

---

Arrangement two

An optimized crystal structure of MnReTc2Sb, computed with GGA-PBE.

Computed properties:
Crystal system ... tetragonal

Cell and atoms, written as CIF:
```
data_MnReTc2Sb
_chemical_formula_sum 'Mn1 Re1 Tc2 Sb1'
_space_group_name_H-M_alt 'P 1'
_space_group_IT_number 1
_cell_length_a 4.363
_cell_length_b 4.649
_cell_length_c 4.363
_cell_angle_alpha 90.00
_cell_angle_beta 90.00
_cell_angle_gamma 90.00
loop_
_space_group_symop_operation_xyz
'x,y,z'
loop_
_atom_site_label
_atom_site_type_symbol
_atom_site_fract_x
_atom_site_fract_y
_atom_site_fract_z
Mn1 Mn 0.000 0.000 0.000
Re1 Re 0.500 0.500 0.500
Tc1 Tc 0.500 0.000 0.000
Tc2 Tc 0.000 0.000 0.500
Sb1 Sb 0.000 0.500 0.000
```

---

Result of the stability comparison: arrangement two is the least stable of them.

---

Arrangement one

An optimized crystal structure of ScMnRe3, computed with GGA-PBE.

Computed properties:
Crystal system ... cubic

Cell and atoms, written as CIF:
```
data_ScMnRe3
_chemical_formula_sum 'Sc1 Mn1 Re3'
_space_group_name_H-M_alt 'P 1'
_space_group_IT_number 1
_cell_length_a 4.462
_cell_length_b 4.462
_cell_length_c 4.462
_cell_angle_alpha 90.00
_cell_angle_beta 90.00
_cell_angle_gamma 90.00
loop_
_space_group_symop_operation_xyz
'x,y,z'
loop_
_atom_site_label
_atom_site_type_symbol
_atom_site_fract_x
_atom_site_fract_y
_atom_site_fract_z
Re1 Re 0.000 0.500 0.000
Re2 Re 0.000 0.000 0.500
Re3 Re 0.500 0.000 0.000
Mn1 Mn 0.000 0.000 0.000
Sc1 Sc 0.500 0.500 0.500
```

---

Arrangement two

An optimized crystal structure of ScMnRe3, computed with GGA-PBE.

Computed properties:
Crystal system ... cubic

Cell and atoms, written as CIF:
```
data_ScMnRe3
_chemical_formula_sum 'Sc1 Mn1 Re3'
_space_group_name_H-M_alt 'P 1'
_space_group_IT_number 1
_cell_length_a 4.499
_cell_length_b 4.499
_cell_length_c 4.499
_cell_angle_alpha 90.00
_cell_angle_beta 90.00
_cell_angle_gamma 90.00
loop_
_space_group_symop_operation_xyz
'x,y,z'
loop_
_atom_site_label
_atom_site_type_symbol
_atom_site_fract_x
_atom_site_fract_y
_atom_site_fract_z
Re1 Re 0.500 0.000 0.000
Re2 Re 0.000 0.000 0.500
Re3 Re 0.000 0.500 0.000
Sc1 Sc 0.000 0.000 0.000
Mn1 Mn 0.500 0.500 0.500
```

---

Result of the stability comparison: arrangement two is the least stable of them.

---

Arrangement one

An optimized crystal structure of MnReTcSe, computed with GGA-PBE.

Computed properties:
Crystal system ... orthorhombic

Cell and atoms, written as CIF:
```
data_MnReTcSe
_chemical_formula_sum 'Mn2 Re2 Tc2 Se2'
_space_group_name_H-M_alt 'P 1'
_space_group_IT_number 1
_cell_length_a 2.826
_cell_length_b 2.880
_cell_length_c 14.322
_cell_angle_alpha 90.00
_cell_angle_beta 90.00
_cell_angle_gamma 90.00
loop_
_space_group_symop_operation_xyz
'x,y,z'
loop_
_atom_site_label
_atom_site_type_symbol
_atom_site_fract_x
_atom_site_fract_y
_atom_site_fract_z
Re1 Re 0.500 0.000 0.491
Re2 Re 0.500 0.500 0.991
Tc1 Tc 0.000 0.000 0.111
Tc2 Tc 0.000 0.500 0.611
Se1 Se 0.500 0.000 0.268
Se2 Se 0.500 0.500 0.768
Mn1 Mn 0.000 0.000 0.864
Mn2 Mn 0.000 0.500 0.364
```

---

Arrangement two

An optimized crystal structure of MnReTcSe, computed with GGA-PBE.

Computed properties:
Crystal system ... monoclinic

Cell and atoms, written as CIF:
```
data_MnReTcSe
_chemical_formula_sum 'Mn2 Re2 Tc2 Se2'
_space_group_name_H-M_alt 'P 1'
_space_group_IT_number 1
_cell_length_a 4.862
_cell_length_b 2.960
_cell_length_c 8.856
_cell_angle_alpha 90.00
_cell_angle_beta 109.98
_cell_angle_gamma 90.00
loop_
_space_group_symop_operation_xyz
'x,y,z'
loop_
_atom_site_label
_atom_site_type_symbol
_atom_site_fract_x
_atom_site_fract_y
_atom_site_fract_z
Re1 Re 0.422 0.000 0.921
Re2 Re 0.422 0.500 0.421
Se1 Se 0.041 0.000 0.210
Se2 Se 0.041 0.500 0.710
Mn1 Mn 0.573 0.500 0.167
Mn2 Mn 0.573 0.000 0.667
Tc1 Tc 0.910 0.500 0.967
Tc2 Tc 0.910 0.000 0.467
```

---

Result of the stability comparison: arrangement two is the least stable of them.